The following is a PBE-GGA calculation of a geometry-optimized Er2ZrSc structure, from the Alexandria database.

Properties
**Calculated formation energy**: 0.32 eV per formula unit
**Final energy**: -0.4353 Ry per atom
**Space group**: R-3m, No. 166
**Crystal system**: trigonal
**Total magnetic moment**: 0.0 μB per formula unit
**Offset from the most stable computed form**: 0.048 eV/f.u.

Cell lengths 3.3612, 3.3612, 11.1177 Å; angles 81.31, 81.31, 60.00 degrees
Fractional coordinates of all 4 atoms:
Zr 0.5000 0.5000 0.5000
Er 0.7519 0.7519 0.7443
Er 0.2481 0.2481 0.2557
Sc 0.0000 0.0000 0.0000



The following is a PBE-GGA calculation of a geometry-optimized LiAl2Rh structure, from the Alexandria database.

Properties
**Calculated formation energy**: -2.37 eV per formula unit
**Final energy**: -0.3513 Ry per atom
**Space group**: Imm2, No. 44
**Crystal system**: orthorhombic
**Total magnetic moment**: 0.0 μB per formula unit

Cell lengths 4.9036, 4.9036, 3.9604 Å; angles 66.19, 66.19, 40.10 degrees
Fractional coordinates of all 4 atoms:
Rh 0.2513 0.2513 0.2490
Li 0.5052 0.5052 0.4945
Al 0.9915 0.9915 0.0082
Al 0.7520 0.7520 0.7483



The following is a PBE-GGA calculation of a geometry-optimized Zr3WSe structure, from the Alexandria database.

Properties
**Final energy**: -0.5659 Ry per atom
**Space group**: Pm-3m, No. 221
**Crystal system**: cubic
**Raw formation energy**: 0.72 eV/atom
**Total magnetic moment**: 0.0 μB per formula unit
**Offset from the most stable computed form**: 1.169 eV/f.u.

Cell lengths 5.1085, 5.1085, 5.1085 Å; angles 90.00, 90.00, 90.00 degrees
Fractional coordinates of all 5 atoms:
Zr 0.0000 0.0000 0.5000
W 0.0000 0.0000 0.0000
Zr 0.5000 0.0000 0.0000
Zr 0.0000 0.5000 0.0000
Se 0.5000 0.5000 0.5000



The following is a PBE-GGA calculation of a geometry-optimized RbZn2PbF8 structure, from the Alexandria database.

Properties
**Final energy**: -0.3029 Ry per atom
**Space group**: P-1, No. 2
**Crystal system**: triclinic
**Raw formation energy**: -2.27 eV/atom
**Total magnetic moment**: 0.0 μB per formula unit

Cell lengths 5.2423, 5.4875, 7.8090 Å; angles 78.62, 80.02, 78.23 degrees
Fractional coordinates of all 12 atoms:
F 0.2251 0.7541 0.7949
F 0.3840 0.3135 0.5090
Pb 0.0000 0.0000 0.0000
F 0.8136 0.2775 0.7711
F 0.3124 0.2403 0.9226
F 0.1864 0.7225 0.2289
Zn 0.5364 0.5415 0.2906
F 0.6160 0.6865 0.4910
F 0.6876 0.7597 0.0774
Rb 0.0000 0.0000 0.5000
Zn 0.4636 0.4585 0.7094
F 0.7749 0.2459 0.2051



The following is a PBE-GGA calculation of a geometry-optimized K2LaHg2 structure, from the Alexandria database.

Properties
**Calculated formation energy**: 0.16 eV per formula unit
**Final energy**: -0.1112 Ry per atom
**Space group**: P4/mbm, No. 127
**Crystal system**: tetragonal
**Total magnetic moment**: 0.3 μB per formula unit
**Offset from the most stable computed form**: 0.550 eV/f.u.

Cell lengths 9.6895, 9.6895, 3.6119 Å; angles 90.00, 90.00, 90.00 degrees
Fractional coordinates of all 10 atoms:
K 0.1201 0.3799 0.0000
La 0.5000 0.5000 0.0000
Hg 0.3168 0.1832 0.5000
K 0.8799 0.6201 0.0000
K 0.3799 0.8799 0.0000
K 0.6201 0.1201 0.0000
Hg 0.6832 0.8168 0.5000
La 0.0000 0.0000 0.0000
Hg 0.1832 0.6832 0.5000
Hg 0.8168 0.3168 0.5000



The following is a PBE-GGA calculation of a geometry-optimized TaRu2Rh structure, from the Alexandria database.

Properties
**Calculated formation energy**: -0.73 eV per formula unit
**Final energy**: -0.7071 Ry per atom
**Space group**: Cm, No. 8
**Crystal system**: monoclinic
**Total magnetic moment**: 0.0 μB per formula unit
**Offset from the most stable computed form**: 0.609 eV/f.u.

Cell lengths 4.7809, 4.7809, 4.7414 Å; angles 79.76, 79.76, 34.29 degrees
Fractional coordinates of all 4 atoms:
Ta 0.4996 0.4996 0.4937
Ru 0.7467 0.7467 0.7706
Rh 0.2512 0.2512 0.2505
Ru 0.0025 0.0025 0.9853



The following is a PBE-GGA calculation of a geometry-optimized Mg2InCu structure, from the Alexandria database.

Properties
**Calculated formation energy**: 0.10 eV per formula unit
**Final energy**: -0.1824 Ry per atom
**Space group**: F-43m, No. 216
**Crystal system**: cubic
**Total magnetic moment**: 0.0 μB per formula unit

Cell lengths 4.7627, 4.7627, 4.7627 Å; angles 60.00, 60.00, 60.00 degrees
Fractional coordinates of all 4 atoms:
In 0.2500 0.2500 0.2500
Mg 0.7500 0.7500 0.7500
Mg 0.0000 0.0000 0.0000
Cu 0.5000 0.5000 0.5000



The following is a PBE-GGA calculation of a geometry-optimized VCrRu3 structure, from the Alexandria database.

Properties
**Calculated formation energy**: 0.13 eV per formula unit
**Final energy**: -0.6827 Ry per atom
**Space group**: P2_1/m, No. 11
**Crystal system**: monoclinic
**Total magnetic moment**: 1.6 μB per formula unit
**Offset from the most stable computed form**: 0.000 eV/f.u.

Cell lengths 4.2019, 4.1995, 8.0385 Å; angles 90.00, 105.18, 90.00 degrees
Fractional coordinates of all 10 atoms:
Ru 0.0753 0.8440 0.4325
Ru 0.2638 0.8444 0.8078
V 0.8634 0.8441 0.0068
Cr 0.3637 0.3447 0.0120
Cr 0.6619 0.8447 0.6025
Ru 0.9504 0.3440 0.1820
Ru 0.4533 0.8448 0.1832
V 0.1623 0.3441 0.6077
Ru 0.5724 0.3448 0.4314
Ru 0.7619 0.3444 0.8068



The following is a PBE-GGA calculation of a geometry-optimized CeTmRh2 structure, from the Alexandria database.

Properties
**Calculated formation energy**: -2.96 eV per formula unit
**Final energy**: -0.5157 Ry per atom
**Space group**: C2/m, No. 12
**Crystal system**: monoclinic
**Total magnetic moment**: 0.0 μB per formula unit

Cell lengths 5.5065, 5.6365, 11.2810 Å; angles 99.83, 90.00, 90.00 degrees
Fractional coordinates of all 16 atoms:
Rh 0.7498 0.5654 0.1462
Rh 0.2509 0.0413 0.1522
Rh 0.7498 0.9346 0.3538
Ce 0.7500 0.4695 0.8889
Tm 0.2493 0.9488 0.8928
Ce 0.2500 0.9695 0.3889
Rh 0.2502 0.0654 0.6462
Rh 0.2509 0.4587 0.3478
Ce 0.2500 0.5305 0.1111
Tm 0.2493 0.5512 0.6072
Rh 0.7491 0.9587 0.8478
Rh 0.2502 0.4346 0.8538
Ce 0.7500 0.0305 0.6111
Tm 0.7507 0.4488 0.3928
Rh 0.7491 0.5413 0.6522
Tm 0.7507 0.0512 0.1072



The following is a PBE-GGA calculation of a geometry-optimized Zr5Cu4Tc structure, from the Alexandria database.

Properties
**Calculated formation energy**: -1.79 eV per formula unit
**Final energy**: -0.5239 Ry per atom
**Space group**: P4/mmm, No. 123
**Crystal system**: tetragonal
**Total magnetic moment**: 1.2 μB per formula unit

Cell lengths 3.2959, 3.2959, 16.3203 Å; angles 90.00, 90.00, 90.00 degrees
Fractional coordinates of all 10 atoms:
Cu 0.0000 0.0000 0.4014
Zr 0.5000 0.5000 0.0976
Zr 0.5000 0.5000 0.5000
Zr 0.5000 0.5000 0.7004
Cu 0.0000 0.0000 0.5986
Cu 0.0000 0.0000 0.8013
Zr 0.5000 0.5000 0.2996
Tc 0.0000 0.0000 0.0000
Cu 0.0000 0.0000 0.1987
Zr 0.5000 0.5000 0.9024



The following is a PBE-GGA calculation of a geometry-optimized MgRh3Au structure, from the Alexandria database.

Properties
**Calculated formation energy**: 5.50 eV per formula unit
**Final energy**: -0.3150 Ry per atom
**Space group**: Pm-3m, No. 221
**Crystal system**: cubic
**Total magnetic moment**: 2.4 μB per formula unit
**Offset from the most stable computed form**: 0.000 eV/f.u.

Cell lengths 4.4974, 4.4974, 4.4974 Å; angles 90.00, 90.00, 90.00 degrees
Fractional coordinates of all 5 atoms:
Rh 0.5000 0.0000 0.0000
Au 0.5000 0.5000 0.5000
Rh 0.0000 0.0000 0.5000
Rh 0.0000 0.5000 0.0000
Mg 0.0000 0.0000 0.0000



The following is a PBE-GGA calculation of a geometry-optimized InAsRuSe2 structure, from the Alexandria database.

Properties
**Final energy**: -0.3292 Ry per atom
**Space group**: P4/mmm, No. 123
**Crystal system**: tetragonal
**Raw formation energy**: 0.25 eV/atom
**Total magnetic moment**: 0.0 μB per formula unit
**Offset from the most stable computed form**: 0.000 eV/f.u.

Cell lengths 5.1320, 5.1320, 4.6487 Å; angles 90.00, 90.00, 90.00 degrees
Fractional coordinates of all 5 atoms:
Se 0.0000 0.5000 0.0000
In 0.5000 0.5000 0.5000
Ru 0.0000 0.0000 0.0000
Se 0.5000 0.0000 0.0000
As 0.0000 0.0000 0.5000